(A)
This record from Alexandria describes a relaxed structure of DyMg2Hg. The functional is PBE. Values from VASP.

Geometry as Quantum ESPRESSO input:
```
&SYSTEM
  ibrav = 0, nat = 4, ntyp = 3
/
ATOMIC_SPECIES
Hg 200.59 Hg.upf
Mg 24.30 Mg.upf
Dy 162.50 Dy.upf
CELL_PARAMETERS angstrom
-3.158 -0.062 3.936
-4.971 -0.427 -0.759
-2.387 -4.266 1.253
ATOMIC_POSITIONS angstrom
Hg -5.258 -2.377 2.215
Mg -2.629 -1.189 1.108
Mg -7.887 -3.566 3.323
Dy 0.000 0.000 0.000
```

Calculated values
total moment	0.00	μB per atom
calculated volume	91	Å³ per cell
crystal system	cubic
space-group type	No. 225
DOS(E_F)	2.27	states/eV/f.u.
ρ	7.52	g/cm³

(B)
This record from Alexandria describes a relaxed structure of DyMg2Hg. The functional is PBE. Values from VASP.

Geometry as Quantum ESPRESSO input:
```
&SYSTEM
  ibrav = 0, nat = 4, ntyp = 3
/
ATOMIC_SPECIES
Dy 162.50 Dy.upf
Hg 200.59 Hg.upf
Mg 24.30 Mg.upf
CELL_PARAMETERS angstrom
-2.004 2.240 -3.829
-4.050 -0.773 1.667
0.159 3.872 2.181
ATOMIC_POSITIONS angstrom
Dy -2.948 2.669 0.010
Hg -1.002 1.120 -1.915
Mg -2.025 -0.387 0.834
Mg 0.079 1.936 1.091
```

Calculated values
total moment	0.00	μB per atom
calculated volume	96	Å³ per cell
crystal system	tetragonal
space-group type	No. 123
DOS(E_F)	2.15	states/eV/f.u.
ρ	7.10	g/cm³

(C)
This record from Alexandria describes a relaxed structure of DyMg2Hg. The functional is PBE. Values from VASP.

Geometry as Quantum ESPRESSO input:
```
&SYSTEM
  ibrav = 0, nat = 4, ntyp = 3
/
ATOMIC_SPECIES
Dy 162.50 Dy.upf
Mg 24.30 Mg.upf
Hg 200.59 Hg.upf
CELL_PARAMETERS angstrom
-0.457 -2.670 -1.839
1.406 -2.832 0.849
-8.709 -4.488 5.768
ATOMIC_POSITIONS angstrom
Dy 0.000 0.000 0.000
Mg -6.113 -3.725 4.014
Mg -1.647 -6.266 0.764
Hg -3.880 -4.995 2.389
```

Calculated values
total moment	0.00	μB per atom
calculated volume	104	Å³ per cell
crystal system	trigonal
space-group type	No. 166
DOS(E_F)	2.70	states/eV/f.u.
ρ	6.57	g/cm³

(D)
This record from Alexandria describes a relaxed structure of DyMg2Hg. The functional is PBE. Values from VASP.

Geometry as Quantum ESPRESSO input:
```
&SYSTEM
  ibrav = 0, nat = 4, ntyp = 3
/
ATOMIC_SPECIES
Dy 162.50 Dy.upf
Mg 24.30 Mg.upf
Hg 200.59 Hg.upf
CELL_PARAMETERS angstrom
-2.206 -0.459 -4.555
5.063 0.287 0.328
-0.033 -3.930 3.219
ATOMIC_POSITIONS angstrom
Dy 1.292 -1.687 0.942
Mg -1.086 -2.972 -0.613
Mg 3.807 -3.508 2.716
Hg 1.463 -0.861 -2.059
```

Calculated values
total moment	0.00	μB per atom
calculated volume	93	Å³ per cell
crystal system	tetragonal
space-group type	No. 119
DOS(E_F)	1.94	states/eV/f.u.
ρ	7.34	g/cm³

Relative energies, meV/atom: (A) 135; (B) 23; (C) 381; (D) 0.

(A)
This record from Alexandria describes a relaxed structure of Dy4MgHg2. The functional is PBE. Values from VASP.

Geometry as Quantum ESPRESSO input:
```
&SYSTEM
  ibrav = 0, nat = 7, ntyp = 3
/
ATOMIC_SPECIES
Dy 162.50 Dy.upf
Hg 200.59 Hg.upf
Mg 24.30 Mg.upf
CELL_PARAMETERS angstrom
4.974 0.000 1.554
2.244 4.439 1.554
0.004 0.002 8.725
ATOMIC_POSITIONS angstrom
Dy 0.969 0.596 5.636
Dy 2.816 1.732 8.460
Dy 6.253 3.846 6.196
Dy 4.406 2.709 3.373
Hg 5.340 3.284 9.120
Hg 1.882 1.158 2.712
Mg 0.000 0.000 0.000
```

Calculated values
total moment	0.00	μB per atom
calculated volume	193	Å³ per cell
crystal system	trigonal
space-group type	No. 166
DOS(E_F)	7.63	states/eV/f.u.
ρ	9.27	g/cm³

(B)
This record from Alexandria describes a relaxed structure of Dy4MgHg2. The functional is PBE. Values from VASP.

Geometry as Quantum ESPRESSO input:
```
&SYSTEM
  ibrav = 0, nat = 7, ntyp = 3
/
ATOMIC_SPECIES
Dy 162.50 Dy.upf
Mg 24.30 Mg.upf
Hg 200.59 Hg.upf
CELL_PARAMETERS angstrom
5.244 0.000 0.000
2.622 4.541 0.000
2.622 1.514 8.778
ATOMIC_POSITIONS angstrom
Dy 2.622 1.514 5.455
Dy 7.866 4.541 7.445
Dy 2.622 1.514 1.333
Dy 7.866 4.541 3.323
Mg 5.244 3.028 4.389
Hg 5.244 3.028 7.083
Hg 5.244 3.028 1.695
```

Calculated values
total moment	0.00	μB per atom
calculated volume	209	Å³ per cell
crystal system	trigonal
space-group type	No. 166
DOS(E_F)	12.77	states/eV/f.u.
ρ	8.54	g/cm³

Relative energies, meV/atom: (A) 0; (B) 153.

(A)
This record from Alexandria describes a relaxed structure of Dy2MgHg3. The functional is PBE. Values from VASP.

Geometry as Quantum ESPRESSO input:
```
&SYSTEM
  ibrav = 0, nat = 6, ntyp = 3
/
ATOMIC_SPECIES
Hg 200.59 Hg.upf
Dy 162.50 Dy.upf
Mg 24.30 Mg.upf
CELL_PARAMETERS angstrom
3.655 0.000 0.000
0.000 3.655 0.000
0.000 0.000 10.875
ATOMIC_POSITIONS angstrom
Hg 0.000 0.000 0.000
Hg 0.000 0.000 3.759
Hg 0.000 0.000 7.116
Dy 1.828 1.828 1.896
Dy 1.828 1.828 8.980
Mg 1.828 1.828 5.438
```

Calculated values
total moment	0.00	μB per atom
calculated volume	145	Å³ per cell
crystal system	tetragonal
space-group type	No. 123
DOS(E_F)	2.99	states/eV/f.u.
ρ	10.87	g/cm³

(B)
This record from Alexandria describes a relaxed structure of Dy2MgHg3. The functional is PBE. Values from VASP.

Geometry as Quantum ESPRESSO input:
```
&SYSTEM
  ibrav = 0, nat = 12, ntyp = 3
/
ATOMIC_SPECIES
Hg 200.59 Hg.upf
Mg 24.30 Mg.upf
Dy 162.50 Dy.upf
CELL_PARAMETERS angstrom
5.114 0.000 0.000
-2.557 4.429 0.000
0.000 0.000 12.757
ATOMIC_POSITIONS angstrom
Hg 0.000 2.952 11.688
Hg 0.000 2.952 5.356
Hg 0.000 0.000 3.245
Hg 2.557 1.476 7.402
Hg 2.557 1.476 1.069
Hg 0.000 0.000 9.512
Mg 2.557 1.476 4.305
Mg 0.000 2.952 8.452
Dy 0.000 0.000 6.379
Dy 0.000 2.952 2.272
Dy 2.557 1.476 10.485
Dy 0.000 0.000 0.000
```

Calculated values
total moment	0.00	μB per atom
calculated volume	289	Å³ per cell
crystal system	trigonal
space-group type	No. 164
DOS(E_F)	3.62	states/eV/f.u.
ρ	10.93	g/cm³

Relative energies, meV/atom: (A) 46; (B) 0.

(A)
This record from Alexandria describes a relaxed structure of Dy3MgHg. The functional is PBE. Values from VASP.

Geometry as Quantum ESPRESSO input:
```
&SYSTEM
  ibrav = 0, nat = 20, ntyp = 3
/
ATOMIC_SPECIES
Hg 200.59 Hg.upf
Dy 162.50 Dy.upf
Mg 24.30 Mg.upf
CELL_PARAMETERS angstrom
-2.353 -3.431 5.368
-4.161 -5.341 -0.533
10.819 -10.223 -0.004
ATOMIC_POSITIONS angstrom
Hg 4.726 -12.191 1.986
Hg -0.421 -6.803 2.844
Hg -1.177 -1.715 2.684
Hg 3.329 -7.782 -0.269
Dy 2.619 -6.424 2.498
Dy 7.012 -10.435 3.406
Dy 3.063 -10.836 -0.212
Dy 1.242 -8.158 5.042
Dy 0.491 -6.498 -0.222
Dy -2.707 -8.559 1.424
Dy 5.229 -14.772 0.398
Dy -3.099 -6.800 4.371
Dy 3.814 -12.496 5.052
Dy -0.924 -4.222 4.432
Dy 7.404 -12.194 0.459
Dy 1.686 -12.570 2.332
Mg 6.522 -14.006 3.351
Mg 3.609 -9.659 2.836
Mg -2.217 -4.988 1.479
Mg 0.696 -9.335 1.994
```

Calculated values
total moment	0.00	μB per atom
calculated volume	571	Å³ per cell
crystal system	monoclinic
space-group type	No. 15
DOS(E_F)	5.78	states/eV/f.u.
ρ	8.29	g/cm³

(B)
This record from Alexandria describes a relaxed structure of Dy3MgHg. The functional is PBE. Values from VASP.

Geometry as Quantum ESPRESSO input:
```
&SYSTEM
  ibrav = 0, nat = 10, ntyp = 3
/
ATOMIC_SPECIES
Dy 162.50 Dy.upf
Mg 24.30 Mg.upf
Hg 200.59 Hg.upf
CELL_PARAMETERS angstrom
5.022 0.000 1.148
0.000 5.146 0.000
0.204 0.000 10.672
ATOMIC_POSITIONS angstrom
Dy 2.981 1.287 6.015
Dy 3.854 1.287 2.196
Dy 1.367 3.860 1.516
Dy 0.479 3.860 5.401
Dy 2.093 1.287 9.900
Dy 4.628 3.860 10.367
Mg 0.920 1.287 3.472
Mg 2.540 3.860 7.944
Hg 3.402 3.860 4.173
Hg 5.080 1.287 8.391
```

Calculated values
total moment	0.00	μB per atom
calculated volume	275	Å³ per cell
crystal system	orthorhombic
space-group type	No. 63
DOS(E_F)	5.94	states/eV/f.u.
ρ	8.62	g/cm³

Relative energies, meV/atom: (A) 106; (B) 0.